# 1
! Ta2VMo2 (GGA-PBE, relaxed); values from VASP
&SYSTEM
  ibrav = 0, nat = 10, ntyp = 3
/
ATOMIC_SPECIES
Ta 180.95 Ta.upf
V 50.94 V.upf
Mo 95.94 Mo.upf
CELL_PARAMETERS angstrom
-3.493 5.230 2.381
3.493 -5.230 2.381
3.493 5.230 -2.381
ATOMIC_POSITIONS crystal
Ta 0.234 0.130 0.365
Ta 0.266 0.630 0.896
Ta 0.734 0.370 0.104
Ta 0.766 0.870 0.635
V 0.250 0.750 0.500
V 0.750 0.250 0.500
Mo 0.065 0.847 0.912
Mo 0.435 0.347 0.782
Mo 0.565 0.653 0.218
Mo 0.935 0.153 0.088
! M_tot: 0.000 μB per atom
! ΔH_f (0 K): 326 meV/atom
! space group: Ibam, No. 72
! E: -10.57 eV per atom



# 2
! Ta2VMo3 (GGA-PBE, relaxed); values from VASP
&SYSTEM
  ibrav = 0, nat = 12, ntyp = 3
/
ATOMIC_SPECIES
Ta 180.95 Ta.upf
V 50.94 V.upf
Mo 95.94 Mo.upf
CELL_PARAMETERS angstrom
3.694 -4.031 0.000
3.694 4.031 0.000
-1.011 0.000 6.683
ATOMIC_POSITIONS crystal
Ta 0.119 0.632 0.875
Ta 0.368 0.881 0.625
Ta 0.632 0.119 0.375
Ta 0.881 0.368 0.125
V 0.422 0.578 0.250
V 0.578 0.422 0.750
Mo 0.098 0.902 0.250
Mo 0.198 0.361 0.479
Mo 0.361 0.198 0.979
Mo 0.639 0.802 0.021
Mo 0.802 0.639 0.521
Mo 0.902 0.098 0.750
! M_tot: 0.000 μB per atom
! ΔH_f (0 K): 214 meV/atom
! space group: C2/c, No. 15
! E: -10.67 eV per atom



# 3
! TaV14Mo (GGA-PBE, relaxed); values from VASP
&SYSTEM
  ibrav = 0, nat = 16, ntyp = 3
/
ATOMIC_SPECIES
Ta 180.95 Ta.upf
V 50.94 V.upf
Mo 95.94 Mo.upf
CELL_PARAMETERS angstrom
3.048 -4.276 0.000
3.048 4.276 0.000
0.000 0.000 8.582
ATOMIC_POSITIONS crystal
Ta 0.000 0.000 0.000
V 0.000 0.000 0.500
V 0.000 0.500 0.000
V 0.000 0.500 0.500
V 0.247 0.753 0.258
V 0.247 0.753 0.742
V 0.255 0.255 0.259
V 0.255 0.255 0.741
V 0.500 0.000 0.000
V 0.500 0.000 0.500
V 0.500 0.500 0.500
V 0.745 0.745 0.259
V 0.745 0.745 0.741
V 0.753 0.247 0.258
V 0.753 0.247 0.742
Mo 0.500 0.500 0.000
! M_tot: 0.000 μB per atom
! ΔH_f (0 K): -3 meV/atom
! space group: Cmmm, No. 65
! E: -9.40 eV per atom